First-principles (PBE+U) data for an optimized crystal structure of NaLaZrVO6, as listed in Alexandria via LeMat-Bulk.

POSCAR file:
```
NaLaZrVO6
1.0
0.000 4.005 4.005
4.005 0.000 4.005
4.005 4.005 0.000
Na La Zr V O
1 1 1 1 6
direct
0.000 0.000 0.000
0.500 0.500 0.500
0.250 0.250 0.250
0.750 0.750 0.750
0.509 0.509 0.991
0.509 0.991 0.509
0.509 0.991 0.991
0.991 0.509 0.509
0.991 0.509 0.991
0.991 0.991 0.509
```

Output
* calculated volume: 12.85 A^3/atom
* calculated total energy: -7.8470 eV/atom
* N(E_F): 2.55 states/eV/f.u.